VASP calculation (GGA-PBE) on a relaxed TmMnNiPt crystal.

Cell and atoms, written as POSCAR:
```
TmMnNiPt
1.0
4.571 0.000 0.000
2.286 3.959 0.000
2.286 1.320 3.732
Pt Mn Ni Tm
1 1 1 1
direct
0.750 0.750 0.750
0.500 0.500 0.500
0.250 0.250 0.250
0.000 0.000 0.000
```

Computed properties:
E_tot	-6.86	eV per atom
volume	67.5	Å³/f.u.
symmetry	No. 216
size of the total moment	4.63	Bohr magnetons per cell